MgMoPt3, optimized geometry, DFT PBE; calculated volume = 18.93 A^3/atom; spin magnetization = 4.013 Bohr magnetons per cell; calculated density = 12.37 g/cm3; DFT total energy = -5.10 eV/atom; space-group type = Pm-3m, No. 221; energy relative to the lowest polymorph listed for this composition = 316 meV per atom; N(E_F) = 1.90 states/eV/cell; DFT formation energy = 5.06 eV per formula unit
1.0
-4.5468 0.1552 0.2733
0.1992 -1.6418 4.2470
0.2430 4.2488 1.6311
Pt Mo Mg
3 1 1
Direct
0.0000 0.5000 0.0000
0.0000 0.0000 0.5000
0.5000 0.0000 0.0000
0.5000 0.5000 0.5000
0.0000 0.0000 0.0000

MgMoPt2, optimized geometry, DFT PBE; calculated volume = 15.91 A^3/atom; spin magnetization = 0.000 Bohr magnetons per cell; calculated density = 13.32 g/cm3; DFT total energy = -6.55 eV/atom; space-group type = Cm, No. 8; N(E_F) = 2.77 states/eV/cell; DFT formation energy = -1.69 eV per formula unit
1.0
4.9154 -0.0015 0.0080
4.1205 2.6799 0.0080
0.6371 0.1889 4.8289
Mo Pt Mg
1 2 1
Direct
0.2596 0.2596 0.2066
0.7467 0.7467 0.7080
0.0015 0.0015 0.0420
0.4922 0.4922 0.5434

Mg2Mo2Pt, optimized geometry, DFT PBE; calculated volume = 19.37 A^3/atom; spin magnetization = 0.000 Bohr magnetons per cell; calculated density = 7.47 g/cm3; DFT total energy = -5.83 eV/atom; space-group type = P4/mbm, No. 127; energy relative to the lowest polymorph listed for this composition = 0 meV per atom; N(E_F) = 8.76 states/eV/cell; DFT formation energy = 1.74 eV per formula unit
1.0
-5.5008 0.8349 3.5070
-0.0382 -6.4112 1.4664
2.4540 0.8211 3.6536
Mg Mo Pt
4 4 2
Direct
0.6730 0.8270 0.5000
0.1730 0.6730 0.5000
0.3270 0.1730 0.5000
0.8270 0.3270 0.5000
0.6212 0.1212 0.0000
0.3788 0.8788 0.0000
0.8788 0.6212 0.0000
0.1212 0.3788 0.0000
0.5000 0.5000 0.0000
0.0000 0.0000 0.0000

Mg2Mo2Pt, optimized geometry, DFT PBE; calculated volume = 18.83 A^3/atom; spin magnetization = 0.000 Bohr magnetons per cell; calculated density = 7.68 g/cm3; DFT total energy = -5.48 eV/atom; space-group type = I4/mmm, No. 139; energy relative to the lowest polymorph listed for this composition = 351 meV per atom; N(E_F) = 3.50 states/eV/cell; DFT formation energy = 3.49 eV per formula unit
1.0
-0.1169 -3.6690 0.5164
0.7134 0.4847 3.6053
-6.4227 -1.1982 3.3379
Mg Mo Pt
2 2 1
Direct
0.7500 0.2500 0.5000
0.2500 0.7500 0.5000
0.5811 0.5811 0.8379
0.4189 0.4189 0.1621
0.0000 0.0000 0.0000

MgMoPt3, optimized geometry, DFT PBE; calculated volume = 22.69 A^3/atom; spin magnetization = 0.000 Bohr magnetons per cell; calculated density = 10.33 g/cm3; DFT total energy = -5.41 eV/atom; space-group type = Pm-3m, No. 221; energy relative to the lowest polymorph listed for this composition = 0 meV per atom; N(E_F) = 3.35 states/eV/cell; DFT formation energy = 3.48 eV per formula unit
1.0
4.8411 0.0000 0.0000
0.0000 4.8411 0.0000
0.0000 0.0000 4.8411
Mo Pt Mg
1 3 1
Direct
0.0000 0.0000 0.0000
0.0000 0.0000 0.5000
0.5000 0.0000 0.0000
0.0000 0.5000 0.0000
0.5000 0.5000 0.5000

MgMoPt2, optimized geometry, DFT PBE; calculated volume = 17.60 A^3/atom; spin magnetization = 0.000 Bohr magnetons per cell; calculated density = 12.04 g/cm3; DFT total energy = -5.95 eV/atom; space-group type = I-42d, No. 122; N(E_F) = 4.15 states/eV/cell; DFT formation energy = 0.70 eV per formula unit
1.0
-1.4853 -2.9838 -2.2481
-0.9463 -2.0399 3.3327
-9.0467 1.3025 0.6533
Pt Mo Mg
4 2 2
Direct
0.6283 0.1250 0.2500
0.8750 0.8783 0.7500
0.3750 0.3717 0.7500
0.1217 0.6250 0.2500
0.7500 0.2500 0.5000
0.0000 0.0000 0.0000
0.5000 0.5000 0.0000
0.2500 0.7500 0.5000

MgSnMo2Pt, optimized geometry, DFT PBE; calculated volume = 24.36 A^3/atom; spin magnetization = 4.263 Bohr magnetons per cell; calculated density = 7.22 g/cm3; DFT total energy = -4.86 eV/atom; space-group type = P4/mmm, No. 123; N(E_F) = 3.33 states/eV/cell; DFT formation energy = 8.98 eV per formula unit
1.0
-2.4471 3.0538 3.1018
-1.7022 -3.8626 2.4599
3.9900 0.1514 2.9987
Sn Mo Pt Mg
1 2 1 1
Direct
0.0000 0.0000 0.0000
0.5000 0.0000 0.0000
0.0000 0.0000 0.5000
0.5000 0.5000 0.5000
0.0000 0.5000 0.0000

MgSnMoPt2, optimized geometry, DFT PBE; calculated volume = 24.65 A^3/atom; spin magnetization = 0.000 Bohr magnetons per cell; calculated density = 8.48 g/cm3; DFT total energy = -5.03 eV/atom; space-group type = P4/mmm, No. 123; N(E_F) = 3.53 states/eV/cell; DFT formation energy = 3.35 eV per formula unit
1.0
-4.1904 -2.5462 -0.2605
-0.0576 -0.4263 5.0940
-2.5588 4.1785 0.3208
Mo Pt Sn Mg
1 2 1 1
Direct
0.0000 0.0000 0.0000
0.5000 0.0000 0.0000
0.0000 0.0000 0.5000
0.0000 0.5000 0.0000
0.5000 0.5000 0.5000

MgTcMoPt2, optimized geometry, DFT PBE; calculated volume = 21.72 A^3/atom; spin magnetization = 3.821 Bohr magnetons per cell; calculated density = 9.30 g/cm3; DFT total energy = -5.69 eV/atom; space-group type = P4/mmm, No. 123; N(E_F) = 3.65 states/eV/cell; DFT formation energy = 6.44 eV per formula unit
1.0
4.7789 0.0000 0.0000
0.0000 4.7546 0.0000
0.0000 0.0000 4.7789
Mo Mg Pt Tc
1 1 2 1
Direct
0.5000 0.5000 0.5000
0.0000 0.5000 0.0000
0.0000 0.0000 0.5000
0.5000 0.0000 0.0000
0.0000 0.0000 0.0000

Pu2MgMo, optimized geometry, DFT PBE; calculated volume = 21.71 A^3/atom; spin magnetization = 9.798 Bohr magnetons per cell; calculated density = 11.63 g/cm3; DFT total energy = -9.78 eV/atom; space-group type = R-3m, No. 166; energy relative to the lowest polymorph listed for this composition = 0 meV per atom; N(E_F) = 10.94 states/eV/cell; DFT formation energy = 1.95 eV per formula unit
1.0
-1.6677 0.3954 2.3897
-2.9315 -0.0488 -0.2283
-1.4922 -11.3214 2.6412
Pu Mg Mo
2 1 1
Direct
0.0925 0.0925 0.7225
0.9075 0.9075 0.2775
0.0000 0.0000 0.0000
0.5000 0.5000 0.5000

Pu2MgMo, optimized geometry, DFT PBE; calculated volume = 17.61 A^3/atom; spin magnetization = 0.000 Bohr magnetons per cell; calculated density = 14.34 g/cm3; DFT total energy = -9.69 eV/atom; space-group type = P4/mmm, No. 123; energy relative to the lowest polymorph listed for this composition = 95 meV per atom; N(E_F) = 9.09 states/eV/cell; DFT formation energy = 2.33 eV per formula unit
1.0
-0.7349 1.4605 -1.9593
-2.4129 -0.7579 0.3400
-1.6416 8.2666 6.7777
Pu Mo Mg
2 1 1
Direct
0.0000 0.0000 0.2441
0.0000 0.0000 0.7559
0.5000 0.5000 0.0000
0.5000 0.5000 0.5000

PuMgMoRu, optimized geometry, DFT PBE; calculated volume = 17.29 A^3/atom; spin magnetization = 3.227 Bohr magnetons per cell; calculated density = 11.17 g/cm3; DFT total energy = -8.88 eV/atom; space-group type = F-43m, No. 216; N(E_F) = 5.78 states/eV/cell; DFT formation energy = 0.50 eV per formula unit
1.0
4.6075 0.0000 0.0000
2.3037 3.9902 0.0000
2.3037 1.3301 3.7620
Mo Pu Mg Ru
1 1 1 1
Direct
0.7500 0.7500 0.7500
0.5000 0.5000 0.5000
0.0000 0.0000 0.0000
0.2500 0.2500 0.2500

Rb2MgMo, optimized geometry, DFT PBE; calculated volume = 44.30 A^3/atom; spin magnetization = 9.108 Bohr magnetons per cell; calculated density = 2.73 g/cm3; DFT total energy = -2.24 eV/atom; space-group type = I-42d, No. 122; N(E_F) = 6.23 states/eV/cell; DFT formation energy = 5.40 eV per formula unit
1.0
10.3363 0.0000 0.0000
0.0000 10.3363 0.0000
5.1682 5.1682 3.3169
Mo Rb Mg
2 4 2
Direct
0.7500 0.2500 0.5000
0.0000 0.0000 0.0000
0.6426 0.1250 0.2500
0.8750 0.8926 0.7500
0.1074 0.6250 0.2500
0.3750 0.3574 0.7500
0.5000 0.5000 0.0000
0.2500 0.7500 0.5000

RbMgMoRh2, optimized geometry, DFT PBE; calculated volume = 23.55 A^3/atom; spin magnetization = 3.886 Bohr magnetons per cell; calculated density = 5.80 g/cm3; DFT total energy = -3.96 eV/atom; space-group type = P4/mmm, No. 123; N(E_F) = 3.77 states/eV/cell; DFT formation energy = 8.27 eV per formula unit
1.0
-3.1330 -2.7529 -2.3126
3.6553 -1.2720 -3.4380
1.2600 -3.7136 2.7136
Mg Rh Mo Rb
1 2 1 1
Direct
0.0000 0.0000 0.0000
0.0000 0.0000 0.5000
0.5000 0.0000 0.0000
0.5000 0.5000 0.5000
0.0000 0.5000 0.0000